Tm2InPb2 | PBE | relaxed

Output
energy relative to the lowest polymorph listed for this composition	0.000	eV per atom
energy relative to the elements	-3.27	kcal/mol of atoms

Cell: 5.0319 17.1965 3.5802 Å, 90.00 90.00 90.00°
Last column: nearest neighbours and their distance in Å.
Space group Pbam (No. 55)
Asymmetric unit:
Tm (0.0023, 0.1804, 0.0000) [4 per cell]  1 In 3.10, 4 Pb 3.17, 2 Tm 3.47
In (0.0000, 0.0000, 0.0000) [2 per cell]  2 Tm 3.10
Pb (0.0023, 0.3602, 0.5000) [4 per cell]  4 Tm 3.17

---

TmInPb2 | PBE | relaxed

Output
energy relative to the elements	-3.84	kcal/mol of atoms

Cell: 4.1364 4.1364 6.6231 Å, 90.00 90.00 90.00°
Last column: nearest neighbours and their distance in Å.
Space group P4/mmm (No. 123)
Asymmetric unit:
Tm (0.0000, 0.0000, 0.0000) [1 per cell]  2 In 3.31, 8 Pb 3.35
In (0.0000, 0.0000, 0.5000) [1 per cell]  2 Tm 3.31, 8 Pb 3.37
Pb (0.5000, 0.5000, 0.2466) [2 per cell]  2 Pb 3.27-3.36, 4 Tm 3.35, 4 In 3.37

---

Tm6In3Pb | PBE | relaxed

Output
energy relative to the lowest polymorph listed for this composition	0.097	eV per atom
energy relative to the elements	-5.70	kcal/mol of atoms

Cell: 9.6854 17.5438 6.6509 Å, 90.00 90.00 90.00°
Last column: nearest neighbours and their distance in Å.
Space group Cmc2_1 (No. 36)
Asymmetric unit:
Tm (0.0000, 0.0109, 0.0000) [4 per cell]  2 Pb 3.08-3.22, 4 In 3.19-3.25, 2 Tm 3.35
Tm (0.0000, 0.2973, 0.0061) [4 per cell]  1 Pb 3.12, 1 In 3.26, 2 Tm 3.34
Tm (0.1795, 0.2720, 0.5234) [8 per cell]  3 In 3.08-3.19, 1 Pb 3.19, 1 Tm 3.34
Tm (0.1940, 0.4435, 0.7761) [8 per cell]  4 In 3.14-3.30, 1 Pb 3.40, 1 Tm 3.45
In (0.0000, 0.4155, 0.3851) [4 per cell]  2 In 3.13, 7 Tm 3.19-3.26
In (0.1997, 0.1115, 0.7249) [8 per cell]  6 Tm 3.08-3.30, 1 In 3.13
Pb (0.0000, 0.1516, 0.2764) [4 per cell]  7 Tm 3.08-3.40

---

Tm4InPb | PBE | relaxed

Output
energy relative to the lowest polymorph listed for this composition	0.000	eV per atom
energy relative to the elements	-2.69	kcal/mol of atoms

Cell: 7.2330 7.2330 14.4476 Å, 90.00 90.00 90.00°
Last column: nearest neighbours and their distance in Å.
Space group I4_1/amd (No. 141, origin choice 2)
Asymmetric unit:
Tm (0.2442, 0.0000, 0.0000) [16 per cell]  2 In 3.11, 2 Pb 3.16
In (0.0000, 0.2500, 0.8750) [4 per cell]  8 Tm 3.11
Pb (0.0000, 0.2500, 0.3750) [4 per cell]  8 Tm 3.16

---

Tm2In2Pb | PBE | relaxed

Output
energy relative to the lowest polymorph listed for this composition	0.044	eV per atom
energy relative to the elements	-7.17	kcal/mol of atoms

Cell: 7.7989 7.7989 4.5056 Å, 90.00 90.00 90.00°
Last column: nearest neighbours and their distance in Å.
Space group P4/mbm (No. 127)
Asymmetric unit:
Tm (0.1677, 0.3323, 0.0000) [4 per cell]  6 In 3.17-3.25
In (0.1304, 0.6304, 0.5000) [4 per cell]  1 In 2.88, 2 Pb 3.06, 2 Tm 3.17
Pb (0.0000, 0.0000, 0.5000) [2 per cell]  4 In 3.06

---

Tm4InPb | PBE | relaxed

Output
energy relative to the lowest polymorph listed for this composition	0.053	eV per atom
energy relative to the elements	-1.47	kcal/mol of atoms

Cell: 10.5745 3.5627 10.5531 Å, 90.00 116.20 90.00°
Last column: nearest neighbours and their distance in Å.
Space group C2/m (No. 12)
Asymmetric unit:
Tm (0.1472, 0.0000, 0.3522) [4 per cell]  3 In 3.19-3.35, 1 Pb 3.34, 7 Tm 3.41-3.56
Tm (0.1562, 0.5000, 0.8449) [4 per cell]  3 Pb 3.26-3.31, 1 In 3.27, 7 Tm 3.45-3.56
In (0.0000, 0.5000, 0.5000) [2 per cell]  8 Tm 3.19-3.35, 2 In 3.56
Pb (0.0000, 0.0000, 0.0000) [2 per cell]  8 Tm 3.26-3.34, 2 Pb 3.56

---

Tm2InPb | PBE | relaxed

Output
energy relative to the elements	-4.53	kcal/mol of atoms

Cell: 4.6425 4.6425 20.0018 Å, 90.00 90.00 120.00°
Last column: nearest neighbours and their distance in Å.
Space group R3m (No. 160, hexagonal axes)
Asymmetric unit:
Tm (0.0000, 0.0000, 0.0000) [3 per cell]  3 Pb 3.10, 3 In 3.22
Tm (0.0000, 0.0000, 0.1807) [3 per cell]  3 Pb 3.06, 3 In 3.25
In (0.0000, 0.0000, 0.4223) [3 per cell]  6 Tm 3.22-3.25, 1 Pb 3.32
Pb (0.0000, 0.0000, 0.5883) [3 per cell]  6 Tm 3.06-3.10, 1 In 3.32

---

Tm6InPb | PBE | relaxed

Output
energy relative to the lowest polymorph listed for this composition	0.000	eV per atom
energy relative to the elements	-5.81	kcal/mol of atoms

Cell: 4.7861 4.7861 9.5681 Å, 90.00 90.00 90.00°
Last column: nearest neighbours and their distance in Å.
Space group P4/mmm (No. 123)
Asymmetric unit:
Tm (0.0000, 0.0000, 0.0000) [1 per cell]  8 Tm 3.37, 4 In 3.38
Tm (0.0000, 0.0000, 0.5000) [1 per cell]  4 Pb 3.38, 8 Tm 3.40
Tm (0.0000, 0.5000, 0.2476) [4 per cell]  2 In 3.37, 8 Tm 3.37-3.40, 2 Pb 3.40
In (0.5000, 0.5000, 0.0000) [1 per cell]  12 Tm 3.37-3.38
Pb (0.5000, 0.5000, 0.5000) [1 per cell]  12 Tm 3.38-3.40

---

TmInPb2 | PBE | relaxed

Output
energy relative to the elements	-0.76	kcal/mol of atoms

Cell: 4.8012 4.8012 18.8095 Å, 90.00 90.00 120.00°
Last column: nearest neighbours and their distance in Å.
Space group R3m (No. 160, hexagonal axes)
Asymmetric unit:
Tm (0.0000, 0.0000, 0.0000) [3 per cell]  6 Pb 3.10-3.18, 1 In 3.28
In (0.0000, 0.0000, 0.8256) [3 per cell]  6 Pb 3.20-3.27, 1 Tm 3.28
Pb (0.0000, 0.0000, 0.4071) [3 per cell]  3 Tm 3.10, 3 In 3.20, 1 Pb 3.33
Pb (0.0000, 0.0000, 0.5842) [3 per cell]  3 Tm 3.18, 3 In 3.27, 1 Pb 3.33

---

Tm3In2Pb | PBE | relaxed

Output
energy relative to the elements	-9.27	kcal/mol of atoms

Cell: 3.4511 3.4511 13.2401 Å, 90.00 90.00 90.00°
Last column: nearest neighbours and their distance in Å.
Space group P4/mmm (No. 123)
Asymmetric unit:
Tm (0.0000, 0.0000, 0.0000) [1 per cell]  8 In 3.27, 4 Tm 3.45
Tm (0.0000, 0.0000, 0.3246) [2 per cell]  4 In 3.23, 4 Pb 3.37, 4 Tm 3.45
In (0.5000, 0.5000, 0.1646) [2 per cell]  8 Tm 3.23-3.27, 4 In 3.45
Pb (0.5000, 0.5000, 0.5000) [1 per cell]  8 Tm 3.37, 4 Pb 3.45

---

Tm2InPb9 | PBE | relaxed

Output
energy relative to the elements	-3.21	kcal/mol of atoms

Cell: 4.7790 4.7790 15.4798 Å, 90.00 90.00 90.00°
Last column: nearest neighbours and their distance in Å.
Space group P4/mmm (No. 123)
Asymmetric unit:
Tm (0.0000, 0.0000, 0.1514) [2 per cell]  12 Pb 3.35-3.63
In (0.0000, 0.0000, 0.5000) [1 per cell]  12 Pb 3.38-3.58
Pb (0.0000, 0.5000, 0.0000) [2 per cell]  4 Tm 3.35, 8 Pb 3.38-3.52
Pb (0.0000, 0.5000, 0.3278) [4 per cell]  8 Pb 3.38-3.58, 2 In 3.58, 2 Tm 3.63
Pb (0.5000, 0.5000, 0.1670) [2 per cell]  4 Tm 3.39, 8 Pb 3.45-3.52
Pb (0.5000, 0.5000, 0.5000) [1 per cell]  4 In 3.38, 8 Pb 3.58

---

Tm7InPb4 | PBE | relaxed

Output
energy relative to the elements	-3.26	kcal/mol of atoms

Cell: 14.9024 5.6335 11.1244 Å, 90.00 127.84 90.00°
Last column: nearest neighbours and their distance in Å.
Space group C2/m (No. 12)
Asymmetric unit:
Tm (0.0000, 0.0000, 0.0000) [2 per cell]  2 In 2.82, 2 Pb 3.13
Tm (0.0789, 0.5000, 0.3198) [4 per cell]  1 In 2.98, 1 Pb 3.08
Tm (0.1516, 0.0000, 0.5737) [4 per cell]  5 Pb 3.08-3.37, 1 Tm 3.42
Tm (0.2056, 0.5000, 0.8691) [4 per cell]  4 Pb 3.09-3.20, 1 Tm 3.38
In (0.0000, 0.5000, 0.0000) [2 per cell]  4 Tm 2.82-2.98
Pb (0.0782, 0.0000, 0.7793) [4 per cell]  8 Tm 3.08-3.39
Pb (0.2213, 0.0000, 0.3376) [4 per cell]  6 Tm 3.08-3.37